[1]
A relaxed structure of Ni5GeSe2, computed with PBE.

Structure (POSCAR):
```
Ni5GeSe2
1.0
-1.333 2.465 -2.320
-1.708 -2.642 -1.825
-5.896 1.156 7.470
Ni Ge Se
5 1 2
direct
0.595 0.095 0.189
0.095 0.595 0.189
0.905 0.405 0.811
0.405 0.905 0.811
0.000 0.000 0.000
0.500 0.500 0.000
0.174 0.174 0.348
0.826 0.826 0.652
```

Results
As for the calculated density: 7.1 g/cm³. Its space-group type is I4/mmm. For the raw formation energy, the calculation gives -0.326 eV/atom.



[2]
A relaxed structure of La2PaNi, computed with PBE.

Structure (POSCAR):
```
La2PaNi
1.0
-2.459 0.978 2.093
-2.207 -2.261 1.184
4.770 -2.262 9.379
Ni Pa La
1 1 2
direct
0.500 0.500 0.500
0.000 0.000 0.000
0.102 0.102 0.695
0.898 0.898 0.305
```

Results
As for the calculated density: 9.0 g/cm³. The energy of formation is 0.30 eV/atom. Its space-group type is R-3m.



[3]
A relaxed structure of Rb2BaTcH6, computed with PBE.

Structure (POSCAR):
```
Rb2BaTcH6
1.0
-1.646 6.131 -0.793
-5.210 -1.807 -3.160
-0.212 0.759 6.307
Rb Ba Tc H
2 1 1 6
direct
0.103 0.333 0.667
0.897 0.667 0.333
0.500 0.000 0.000
0.000 0.000 0.000
0.837 0.135 0.270
0.837 0.135 0.865
0.837 0.730 0.865
0.163 0.865 0.135
0.163 0.270 0.135
0.163 0.865 0.730
```

Results
As for the calculated density: 3.1 g/cm³. Its space-group type is P-3m1. For the electronic total energy, the calculation gives -3.5647 eV per atom.